# 1
A relaxed TcTe3 crystal, computed with GGA-PBE.

a = 5.3354 Å, b = 5.3354 Å, c = 5.3354 Å
α = 90.00°, β = 90.00°, γ = 90.00°
Last column: nearest neighbours and their distance in Å.
Space group Pm-3m (No. 221)
Inequivalent atoms, fractional coordinates:
Tc: 0.0000 0.0000 0.0000  6 Te 2.67
Te: 0.0000 0.0000 0.5000  2 Tc 2.67

## Properties
Formation energy from raw total energies in eV/atom: 0.58
Total magnetic moment in μB/f.u.: 2.1
Offset from the most stable computed form in eV/f.u.: 2.20

# 2
A relaxed Rb2PHF6 crystal, computed with GGA-PBE.

a = 9.0751 Å, b = 9.0751 Å, c = 9.0751 Å
α = 90.00°, β = 90.00°, γ = 90.00°
Last column: nearest neighbours and their distance in Å.
Space group Fm-3m (No. 225)
Inequivalent atoms, fractional coordinates:
Rb: 0.2500 0.2500 0.2500  12 F 3.27
P: 0.0000 0.0000 0.0000  6 F 1.65
H: 0.0000 0.0000 0.5000  6 F 2.89
F: 0.0000 0.0000 0.1814  1 P 1.65

## Properties
Total energy in eV/f.u.: -43.3
Total magnetic moment in μB/f.u.: 0.0

# 3
A relaxed Ho2Pd4Pt crystal, computed with GGA-PBE.

a = 10.9904 Å, b = 5.3896 Å, c = 9.1958 Å
α = 90.00°, β = 90.00°, γ = 90.00°
Last column: nearest neighbours and their distance in Å.
Space group Cmce (No. 64)
Inequivalent atoms, fractional coordinates:
Ho: 0.1450 0.0000 0.0000  8 Pd 2.89-3.14, 2 Pt 3.13, 1 Ho 3.19
Pd: 0.0000 0.2420 0.2478  2 Pt 2.66-2.67, 4 Pd 2.70-2.75
Pd: 0.2500 0.2463 0.7500  4 Pd 2.69-2.75, 4 Ho 2.89-2.91
Pt: 0.0000 0.0000 0.5000  4 Pd 2.66-2.67

## Properties
Total energy in eV/f.u.: -40.1
Total magnetic moment in μB/f.u.: 0.0

# 4
A relaxed RbSi3H crystal, computed with GGA-PBE.

a = 5.9485 Å, b = 5.9485 Å, c = 5.9485 Å
α = 90.00°, β = 90.00°, γ = 90.00°
Last column: nearest neighbours and their distance in Å.
Space group Pm-3m (No. 221)
Inequivalent atoms, fractional coordinates:
Rb: 0.0000 0.0000 0.0000  6 Si 2.97
Si: 0.0000 0.0000 0.5000  2 Rb 2.97
H: 0.5000 0.5000 0.5000  12 Si 4.21

## Properties
Total magnetic moment in μB/f.u.: 0.9
Offset from the most stable computed form in eV/f.u.: 8.46

# 5
A relaxed Ta2AlSi crystal, computed with GGA-PBE.

a = 9.7394 Å, b = 2.8404 Å, c = 4.7774 Å
α = 90.00°, β = 101.65°, γ = 90.00°
Last column: nearest neighbours and their distance in Å.
Space group Cm (No. 8)
Inequivalent atoms, fractional coordinates:
Ta: 0.0000 0.0000 0.0000  4 Al 2.76-2.83, 3 Si 2.76-2.80, 3 Ta 2.84-2.92
Ta: 0.2226 0.0000 0.6707  3 Al 2.75-2.82, 4 Si 2.77-2.81, 3 Ta 2.84-2.92
Al: 0.4710 0.0000 0.4800  7 Ta 2.75-2.83, 2 Si 2.76, 2 Al 2.84
Si: 0.2447 0.5000 0.1844  2 Al 2.76, 7 Ta 2.76-2.81, 2 Si 2.84

## Properties
Formation energy from raw total energies in eV/atom: -0.19
Total magnetic moment in μB/f.u.: 0.0
Offset from the most stable computed form in eV/f.u.: 0.16

# 6
A relaxed LaAlO3 crystal, computed with GGA-PBE.

a = 6.8752 Å, b = 6.9280 Å, c = 9.7396 Å
α = 70.36°, β = 83.34°, γ = 77.68°
Last column: nearest neighbours and their distance in Å.
Space group P-1 (No. 2)
Inequivalent atoms, fractional coordinates:
La: 0.0656 0.4122 0.3346  6 O 2.37-2.49
La: 0.2401 0.2455 0.9975  8 O 2.43-2.64
La: 0.4032 0.7811 0.3604  5 O 2.34-2.58
Al: 0.0655 0.0238 0.7001  4 O 1.77-1.79
Al: 0.2775 0.7681 0.9894  4 O 1.77-1.80
Al: 0.4071 0.6622 0.7120  4 O 1.76-1.79
O: 0.0493 0.7229 0.4052  1 Al 1.77
O: 0.1180 0.5869 0.0699  1 Al 1.77
O: 0.1418 0.1086 0.2630  1 Al 1.79
O: 0.1495 0.0090 0.8693  2 Al 1.77-1.80
O: 0.2632 0.9007 0.6041  2 Al 1.79
O: 0.2685 0.4604 0.7442  1 Al 1.78
O: 0.3951 0.8453 0.1097  1 Al 1.77
O: 0.3971 0.4077 0.4083  1 Al 1.78
O: 0.4764 0.6902 0.8714  2 Al 1.76-1.79

## Properties
Formation energy from raw total energies in eV/atom: -3.27
Total magnetic moment in μB/f.u.: 0.0

# 7
A relaxed Li3Pa2TlSe6 crystal, computed with GGA-PBE.

a = 16.8538 Å, b = 4.1470 Å, c = 9.3967 Å
α = 90.00°, β = 99.21°, γ = 90.00°
Last column: nearest neighbours and their distance in Å.
Space group C2/m (No. 12)
Inequivalent atoms, fractional coordinates:
Li: 0.0000 0.0000 0.0000  6 Se 2.70-2.93
Li: 0.1537 0.5000 0.2379  4 Se 2.60-2.69
Pa: 0.1653 0.5000 0.8381  6 Se 2.72-2.94
Tl: 0.0000 0.0000 0.5000  6 Se 3.31-3.35
Se: 0.0020 0.5000 0.7808  1 Li 2.60, 1 Pa 2.72
Se: 0.1622 0.0000 0.0588  3 Li 2.69-2.70, 3 Pa 2.91-2.94
Se: 0.1921 0.0000 0.6471  1 Li 2.65, 2 Pa 2.83

## Properties
Formation energy from raw total energies in eV/atom: -1.18
Total magnetic moment in μB/f.u.: 2.0

# 8
A relaxed Ba2NaCd4Ag3 crystal, computed with GGA-PBE.

a = 4.6177 Å, b = 4.6177 Å, c = 13.3532 Å
α = 90.00°, β = 90.00°, γ = 90.00°
Last column: nearest neighbours and their distance in Å.
Space group P-4m2 (No. 115)
Inequivalent atoms, fractional coordinates:
Ba: 0.0000 0.5000 0.2347  4 Ag 3.52, 8 Cd 3.63-3.89
Na: 0.0000 0.0000 0.5000  4 Cd 3.02, 4 Ag 3.27
Cd: 0.0000 0.0000 0.0000  4 Ag 2.94, 4 Cd 3.27
Cd: 0.0000 0.5000 0.6463  3 Ag 2.91-3.02, 2 Na 3.02
Cd: 0.5000 0.5000 0.0000  4 Ag 2.94, 4 Cd 3.27
Ag: 0.0000 0.5000 0.8641  5 Cd 2.91-2.94
Ag: 0.5000 0.5000 0.5000  4 Cd 3.02, 4 Na 3.27

## Properties
Total energy in eV/f.u.: -19.4
Total magnetic moment in μB/f.u.: 0.0

# 9
A relaxed Si2P crystal, computed with GGA-PBE.

a = 6.2859 Å, b = 4.9782 Å, c = 6.3768 Å
α = 90.00°, β = 90.00°, γ = 90.00°
Last column: nearest neighbours and their distance in Å.
Space group Pnma (No. 62)
Inequivalent atoms, fractional coordinates:
Si: 0.0097 0.2500 0.0012  2 P 2.42-2.51, 4 Si 2.49-2.52
Si: 0.1112 0.7500 0.3738  3 P 2.30-2.50, 2 Si 2.51-2.52
P: 0.1473 0.2500 0.3705  5 Si 2.30-2.51

## Properties
Formation energy from raw total energies in eV/atom: 0.18
Total magnetic moment in μB/f.u.: 0.0
Offset from the most stable computed form in eV/f.u.: 0.54

# 10
A relaxed AlCdAs3 crystal, computed with GGA-PBE.

a = 4.8877 Å, b = 4.8877 Å, c = 4.8877 Å
α = 90.00°, β = 90.00°, γ = 90.00°
Last column: nearest neighbours and their distance in Å.
Space group Pm-3m (No. 221)
Inequivalent atoms, fractional coordinates:
Al: 0.0000 0.0000 0.0000  6 As 2.44
Cd: 0.5000 0.5000 0.5000  12 As 3.46
As: 0.0000 0.0000 0.5000  2 Al 2.44

## Properties
Total magnetic moment in μB/f.u.: 0.0
Offset from the most stable computed form in eV/f.u.: 0.00